# 1
Material: Pr3HoTl
Method: DFT, PBE
State: relaxed

Calculated values
M_tot: 0.00 Bohr magnetons per cell

a = 4.939 Å, b = 4.945 Å, c = 13.266 Å
α = 90.00°, β = 79.27°, γ = 90.00°
Fractional coordinates of all 10 atoms:
Pr 0.771 0.250 0.106
Pr 0.380 0.250 0.888
Pr 0.573 0.250 0.502
Pr 0.268 0.750 0.112
Pr 0.877 0.750 0.894
Pr 0.075 0.750 0.498
Ho 0.476 0.750 0.697
Ho 0.172 0.250 0.303
Tl 0.671 0.750 0.307
Tl 0.978 0.250 0.693



# 2
Material: PrHo12Tl6
Method: DFT, PBE
State: relaxed

Calculated values
M_tot: 0.01 Bohr magnetons per cell

a = 8.867 Å, b = 8.867 Å, c = 8.867 Å
α = 103.54°, β = 103.54°, γ = 103.54°
Fractional coordinates of all 19 atoms:
Pr 0.000 0.000 0.000
Ho 0.872 0.128 0.500
Ho 0.818 0.552 0.552
Ho 0.552 0.552 0.818
Ho 0.448 0.182 0.448
Ho 0.448 0.448 0.182
Ho 0.182 0.448 0.448
Ho 0.128 0.500 0.872
Ho 0.500 0.872 0.128
Ho 0.128 0.872 0.500
Ho 0.872 0.500 0.128
Ho 0.500 0.128 0.872
Ho 0.552 0.818 0.552
Tl 0.693 0.238 0.238
Tl 0.238 0.238 0.693
Tl 0.238 0.693 0.238
Tl 0.762 0.762 0.307
Tl 0.307 0.762 0.762
Tl 0.762 0.307 0.762



# 3
Material: Pr4HoTl3
Method: DFT, PBE
State: relaxed

Calculated values
M_tot: 0.00 Bohr magnetons per cell

a = 3.426 Å, b = 6.921 Å, c = 11.335 Å
α = 72.39°, β = 98.69°, γ = 90.00°
Fractional coordinates of all 8 atoms:
Pr 0.370 0.389 0.739
Pr 0.630 0.611 0.261
Pr 0.374 0.862 0.748
Pr 0.626 0.138 0.252
Ho 0.500 0.000 0.000
Tl 0.000 0.500 0.000
Tl 0.761 0.229 0.521
Tl 0.239 0.771 0.479



# 4
Material: PrHo5Tl3
Method: DFT, PBE
State: relaxed

Calculated values
M_tot: 0.03 Bohr magnetons per cell

a = 6.735 Å, b = 9.396 Å, c = 9.394 Å
α = 120.01°, β = 90.00°, γ = 90.00°
Fractional coordinates of all 18 atoms:
Pr 0.000 0.000 0.000
Pr 0.500 0.000 0.000
Ho 0.000 0.667 0.333
Ho 0.500 0.333 0.667
Ho 0.000 0.333 0.667
Ho 0.500 0.667 0.333
Ho 0.750 0.670 0.670
Ho 0.750 0.000 0.330
Ho 0.750 0.330 0.000
Ho 0.250 0.330 0.330
Ho 0.250 0.000 0.670
Ho 0.250 0.670 0.000
Tl 0.750 0.342 0.342
Tl 0.750 0.000 0.658
Tl 0.750 0.658 0.000
Tl 0.250 0.658 0.658
Tl 0.250 0.000 0.342
Tl 0.250 0.342 0.000



# 5
Material: Pr3Ho6Tl
Method: DFT, PBE
State: relaxed

Calculated values
M_tot: 0.00 Bohr magnetons per cell

a = 3.583 Å, b = 13.019 Å, c = 16.113 Å
α = 121.17°, β = 90.00°, γ = 90.00°
Fractional coordinates of all 20 atoms:
Pr 0.750 0.386 0.896
Pr 0.250 0.614 0.104
Pr 0.750 0.624 0.501
Pr 0.250 0.376 0.499
Pr 0.750 0.127 0.093
Pr 0.250 0.873 0.907
Ho 0.750 0.592 0.710
Ho 0.250 0.408 0.290
Ho 0.750 0.857 0.106
Ho 0.250 0.143 0.894
Ho 0.750 0.383 0.100
Ho 0.250 0.617 0.900
Ho 0.750 0.667 0.311
Ho 0.250 0.333 0.689
Ho 0.750 0.114 0.477
Ho 0.250 0.886 0.523
Ho 0.750 0.889 0.719
Ho 0.250 0.111 0.281
Tl 0.750 0.115 0.691
Tl 0.250 0.885 0.309



# 6
Material: PrHo7Tl2
Method: DFT, PBE
State: relaxed

Calculated values
M_tot: 1.92 Bohr magnetons per cell

a = 5.490 Å, b = 8.886 Å, c = 8.886 Å
α = 118.13°, β = 90.00°, γ = 90.00°
Fractional coordinates of all 10 atoms:
Pr 0.000 0.000 0.000
Ho 0.000 0.767 0.233
Ho 0.000 0.233 0.767
Ho 0.500 0.059 0.303
Ho 0.500 0.941 0.697
Ho 0.500 0.303 0.059
Ho 0.500 0.697 0.941
Ho 0.500 0.500 0.500
Tl 0.500 0.696 0.304
Tl 0.500 0.304 0.696



Number 1: mass density 8.26 g/cm3, formation energy -0.127 eV/atom. Number 2: mass density 8.86 g/cm3, formation energy -0.008 eV/atom. Number 3: mass density 8.81 g/cm3, formation energy -0.017 eV/atom. Number 4: mass density 10.18 g/cm3, formation energy -0.255 eV/atom. Number 5: mass density 8.35 g/cm3, formation energy -0.002 eV/atom. Number 6: mass density 7.40 g/cm3, formation energy 0.362 eV/atom.